[1]
A plane-wave DFT calculation with PBE+U was carried out for a relaxed ErV2CdO8 crystal.

Cell lengths 7.2038, 7.2038, 6.4023 Å; angles 90.00, 90.00, 90.00 degrees
With the nearest neighbours (Å) after each atom.
Space group I-4m2 (No. 119)
Symmetry-distinct sites (fractional):
Er: 0.0000 0.0000 0.0000  8 O 2.27-2.46
V: 0.0000 0.0000 0.5000  4 O 1.74
V: 0.0000 0.5000 0.2500  4 O 1.74
Cd: 0.0000 0.5000 0.7500  8 O 2.32-2.58
O: 0.0000 0.1840 0.6769  1 V 1.74
O: 0.0000 0.3057 0.0891  1 V 1.74

Computed properties:
Density of states at the Fermi level in states/eV/f.u.: 8.76
Electronic total energy in eV/cell: -167.80
Crystal system: tetragonal



[2]
A plane-wave DFT calculation with PBE+U was carried out for a relaxed Er2CdWO8 crystal.

Cell lengths 6.9080, 7.1497, 6.9525 Å; angles 90.00, 90.00, 90.00 degrees
With the nearest neighbours (Å) after each atom.
Space group Cmmm (No. 65)
Symmetry-distinct sites (fractional):
Er: 0.0000 0.0000 0.2497  6 O 2.19-2.30
Cd: 0.0000 0.5000 0.0000  2 O 2.11
W: 0.0000 0.5000 0.5000  6 O 1.95-1.96
O: 0.0000 0.3115 0.2978  1 W 1.95
O: 0.1939 0.0000 0.0000  1 Cd 2.11, 2 Er 2.19
O: 0.2170 0.0000 0.5000  1 W 1.96

Computed properties:
Density of states at the Fermi level in states/eV/f.u.: 9.57
Electronic total energy in eV/cell: -166.67
Crystal system: orthorhombic



[3]
A plane-wave DFT calculation with PBE+U was carried out for a relaxed ErCd2WO6 crystal.

Cell lengths 5.6419, 5.7050, 9.9237 Å; angles 90.00, 124.46, 90.00 degrees
With the nearest neighbours (Å) after each atom.
Space group P2_1/c (No. 14)
Symmetry-distinct sites (fractional):
Er: 0.0000 0.0000 0.0000  6 O 2.21-2.28
Cd: 0.2459 0.0391 0.7472  4 O 2.27-2.37
W: 0.5000 0.0000 0.5000  6 O 1.97-2.06
O: 0.1401 0.1751 0.4433  1 W 2.04, 1 Er 2.21, 1 Cd 2.27
O: 0.2785 0.7059 0.4419  1 W 1.97
O: 0.3691 0.0605 0.2626  1 W 2.06, 1 Er 2.26, 1 Cd 2.30

Computed properties:
Electronic total energy in eV/cell: -127.68
Crystal system: monoclinic